Entry 1:
An optimized crystal structure of SmB2, computed with PBE.

Calculated values
Formation energy, kcal/mol of atoms: -4.93
E, eV/cell: -74.86
Mass density, Mg/m³: 7.1
Excess energy over the best structure of this formula in the dataset, meV/atom: 180

a = 3.7000 Å, b = 3.7000 Å, c = 11.6725 Å
α = 90.00°, β = 90.00°, γ = 90.00°
Closest atoms and distances in Å follow each position.
Space group I4_1/amd (No. 141, origin choice 2)
Unique sites:
Sm (0.0000, 0.2500, 0.3750) x4  12 B 2.75-2.76
B (0.0000, 0.2500, 0.7990) x8  1 B 1.77



Entry 2:
An optimized crystal structure of ErTm2AuC, computed with PBE.

Calculated values
Formation energy, kcal/mol of atoms: -10.83
E, eV/cell: -28.35
Mass density, Mg/m³: 10.9

a = 4.7565 Å, b = 4.7565 Å, c = 4.8244 Å
α = 90.00°, β = 90.00°, γ = 90.00°
Closest atoms and distances in Å follow each position.
Space group P4mm (No. 99)
Unique sites:
Er (0.0000, 0.0000, 0.0000) x1  2 C 2.41-2.42
Tm (0.0000, 0.5000, 0.4996) x2  2 C 2.38
Au (0.5000, 0.5000, 0.0039) x1  4 Er 3.36, 8 Tm 3.37-3.40
C (0.0000, 0.0000, 0.5015) x1  4 Tm 2.38, 2 Er 2.41-2.42



Entry 3:
An optimized crystal structure of BC2, computed with PBE.

Calculated values
Formation energy, kcal/mol of atoms: 9.67
E, eV/cell: -95.47
Mass density, Mg/m³: 3.0
Excess energy over the best structure of this formula in the dataset, meV/atom: 179

a = 4.5996 Å, b = 2.5677 Å, c = 6.4986 Å
α = 90.00°, β = 90.05°, γ = 90.00°
Closest atoms and distances in Å follow each position.
Space group Pm (No. 6)
Unique sites:
B (0.0000, 0.0000, 0.0000) x1  3 C 1.59-1.60
B (0.0368, 0.0000, 0.7236) x1  1 C 1.56, 2 B 1.74
B (0.4972, 0.5000, 0.9715) x1  4 C 1.62-1.64
B (0.8128, 0.5000, 0.6375) x1  2 C 1.58-1.64, 2 B 1.74
C (0.1719, 0.5000, 0.0760) x1  1 C 1.55, 3 B 1.59-1.64
C (0.1749, 0.5000, 0.3142) x1  4 C 1.55-1.61
C (0.3403, 0.0000, 0.3939) x1  4 C 1.56-1.63
C (0.3517, 0.0000, 0.6332) x1  3 C 1.55-1.56, 1 B 1.56
C (0.4910, 0.5000, 0.7216) x1  2 C 1.55, 2 B 1.58-1.62
C (0.6686, 0.0000, 0.0730) x1  1 C 1.53, 3 B 1.60-1.64
C (0.6736, 0.0000, 0.3078) x1  4 C 1.53-1.63
C (0.8398, 0.5000, 0.3864) x1  3 C 1.58-1.61, 1 B 1.64



Entry 4:
An optimized crystal structure of Cd2AgPd4, computed with PBE.

Calculated values
Formation energy, kcal/mol of atoms: -1.74
E, eV/cell: -51.96
Mass density, Mg/m³: 9.7
Excess energy over the best structure of this formula in the dataset, meV/atom: 54

a = 5.6876 Å, b = 7.3229 Å, c = 7.3577 Å
α = 74.62°, β = 67.39°, γ = 67.64°
Closest atoms and distances in Å follow each position.
Space group P1 (No. 1)
Unique sites:
Cd (0.0000, 0.0000, 0.0000) x1  4 Pd 2.70-2.71
Cd (0.0001, 0.4988, 0.4991) x1  4 Pd 2.70-2.71
Cd (0.0008, 0.4995, 0.9979) x1  6 Pd 2.72-2.82, 2 Cd 2.84
Cd (0.5007, 0.4982, 0.9992) x1  6 Pd 2.73-2.79, 2 Cd 2.84
Ag (0.2369, 0.0136, 0.5118) x1  6 Pd 2.72-2.87, 2 Ag 2.86
Ag (0.7649, 0.9832, 0.4861) x1  6 Pd 2.72-2.87, 2 Ag 2.86
Pd (0.2522, 0.7652, 0.2647) x1  4 Pd 2.63-2.94, 3 Cd 2.70-2.73, 2 Ag 2.72-2.85
Pd (0.2860, 0.2336, 0.7322) x1  4 Pd 2.63-2.94, 3 Cd 2.71-2.72, 2 Ag 2.72-2.87
Pd (0.3674, 0.1464, 0.1130) x1  5 Pd 2.69-2.97, 1 Ag 2.73, 2 Cd 2.79-2.80
Pd (0.3767, 0.6138, 0.6454) x1  5 Pd 2.70-2.98, 1 Ag 2.73, 2 Cd 2.79-2.82
Pd (0.6278, 0.3829, 0.3517) x1  5 Pd 2.70-2.98, 1 Ag 2.73, 2 Cd 2.79-2.82
Pd (0.6315, 0.8512, 0.8849) x1  5 Pd 2.69-2.97, 1 Ag 2.73, 2 Cd 2.79-2.80
Pd (0.7157, 0.7642, 0.2646) x1  4 Pd 2.63-2.93, 3 Cd 2.70-2.72, 2 Ag 2.72-2.87
Pd (0.7496, 0.2311, 0.7335) x1  4 Pd 2.63-2.94, 3 Cd 2.70-2.73, 2 Ag 2.72-2.85



Entry 5:
An optimized crystal structure of Nd6Sm3Y2Tl, computed with PBE.

Calculated values
Formation energy, kcal/mol of atoms: -0.28
E, eV/cell: -116.41
Mass density, Mg/m³: 7.1

a = 6.2541 Å, b = 10.8794 Å, c = 11.9228 Å
α = 90.00°, β = 100.35°, γ = 90.00°
Closest atoms and distances in Å follow each position.
Space group C2/m (No. 12)
Unique sites:
Nd (0.2441, 0.1634, 0.2458) x8  1 Tl 3.53, 6 Nd 3.54-3.66, 2 Y 3.57-3.58, 3 Sm 3.63-3.65
Nd (0.2453, 0.0000, 0.7517) x4  6 Nd 3.54-3.66, 1 Tl 3.57, 2 Y 3.59, 3 Sm 3.62-3.64
Sm (0.0000, 0.1687, 0.5000) x4  6 Sm 3.59-3.67, 6 Nd 3.62-3.65
Sm (0.0000, 0.5000, 0.5000) x2  6 Sm 3.60-3.63, 6 Nd 3.63-3.64
Y (0.0000, 0.3341, 0.0000) x4  6 Nd 3.57-3.59, 3 Y 3.61-3.62, 3 Tl 3.61-3.63
Tl (0.0000, 0.0000, 0.0000) x2  6 Nd 3.53-3.57, 6 Y 3.61-3.63



Entry 6:
An optimized crystal structure of ZrZnP, computed with PBE.

Calculated values
Formation energy, kcal/mol of atoms: -2.30
E, eV/cell: -62.13
Mass density, Mg/m³: 5.1

a = 6.2622 Å, b = 6.2622 Å, c = 6.2622 Å
α = 90.00°, β = 90.00°, γ = 90.00°
Closest atoms and distances in Å follow each position.
Space group F-43m (No. 216)
Unique sites:
Zr (0.0000, 0.0000, 0.0000) x4  4 P 2.71, 4 Zn 2.71
Zn (0.2500, 0.2500, 0.7500) x4  4 Zr 2.71
P (0.2500, 0.2500, 0.2500) x4  4 Zr 2.71



Entry 7:
An optimized crystal structure of Ba3Ce2CdAs6, computed with PBE.

Calculated values
Formation energy, kcal/mol of atoms: -20.27
E, eV/cell: -113.99
Mass density, Mg/m³: 5.6

a = 7.6412 Å, b = 13.1163 Å, c = 7.8514 Å
α = 90.00°, β = 108.57°, γ = 90.00°
Closest atoms and distances in Å follow each position.
Space group C2/m (No. 12)
Unique sites:
Ba (0.0000, 0.0000, 0.0000) x2  6 As 3.27-3.35
Ba (0.0000, 0.3375, 0.0000) x4  6 As 3.32-3.35
Ce (0.0000, 0.1685, 0.5000) x4  6 As 2.94-2.96
Cd (0.0000, 0.5000, 0.5000) x2  6 As 3.03-3.05
As (0.2255, 0.0000, 0.7087) x4  2 Ce 2.96, 1 Cd 3.05, 1 Ba 3.27
As (0.2407, 0.3297, 0.7099) x8  2 Ce 2.94-2.95, 1 Cd 3.03



Entry 8:
An optimized crystal structure of RbTlCu3, computed with PBE.

Calculated values
Formation energy, kcal/mol of atoms: 12.44
E, eV/cell: -12.93
Mass density, Mg/m³: 5.9
Excess energy over the best structure of this formula in the dataset, meV/atom: 0

a = 5.1451 Å, b = 5.1451 Å, c = 5.1451 Å
α = 90.00°, β = 90.00°, γ = 90.00°
Closest atoms and distances in Å follow each position.
Space group Pm-3m (No. 221)
Unique sites:
Rb (0.0000, 0.0000, 0.0000) x1  12 Cu 3.64
Tl (0.5000, 0.5000, 0.5000) x1  6 Cu 2.57
Cu (0.0000, 0.5000, 0.5000) x3  2 Tl 2.57



Entry 9:
An optimized crystal structure of Cr3NiSb, computed with PBE.

Calculated values
E, eV/cell: -34.21
Mass density, Mg/m³: 6.2
Excess energy over the best structure of this formula in the dataset, meV/atom: 0
Formation energy from raw total energies, kJ/mol of atoms: 87.98

a = 4.4802 Å, b = 4.4802 Å, c = 4.4802 Å
α = 90.00°, β = 90.00°, γ = 90.00°
Closest atoms and distances in Å follow each position.
Space group Pm-3m (No. 221)
Unique sites:
Cr (0.0000, 0.0000, 0.5000) x3  2 Ni 2.24
Ni (0.0000, 0.0000, 0.0000) x1  6 Cr 2.24
Sb (0.5000, 0.5000, 0.5000) x1  12 Cr 3.17



Entry 10:
An optimized crystal structure of NiHOs, computed with PBE.

Calculated values
E, eV/cell: -78.68
Mass density, Mg/m³: 15.0
Excess energy over the best structure of this formula in the dataset, meV/atom: 129

a = 3.7887 Å, b = 3.7887 Å, c = 7.7073 Å
α = 90.00°, β = 90.00°, γ = 90.00°
Closest atoms and distances in Å follow each position.
Space group I4_1md (No. 109)
Unique sites:
Ni (0.0000, 0.0000, 0.0000) x4  3 H 1.88-1.89
H (0.0000, 0.0000, 0.7555) x4  3 Ni 1.88-1.89, 3 Os 1.90-2.00
Os (0.0000, 0.0000, 0.4964) x4  3 H 1.90-2.00



Entry 11:
An optimized crystal structure of In2MoW, computed with PBE.

Calculated values
Formation energy, kcal/mol of atoms: 14.38
E, eV/cell: -107.07
Mass density, Mg/m³: 11.5
Excess energy over the best structure of this formula in the dataset, meV/atom: 326

a = 6.6430 Å, b = 6.6430 Å, c = 6.6430 Å
α = 90.00°, β = 90.00°, γ = 90.00°
Closest atoms and distances in Å follow each position.
Space group F-43m (No. 216)
Unique sites:
In (0.0000, 0.0000, 0.0000) x4  4 In 2.88, 4 W 2.88
In (0.2500, 0.2500, 0.2500) x4  4 In 2.88, 4 Mo 2.88
Mo (0.0000, 0.0000, 0.5000) x4  4 In 2.88, 4 W 2.88
W (0.2500, 0.2500, 0.7500) x4  4 In 2.88, 4 Mo 2.88



Entry 12:
An optimized crystal structure of TbPrC, computed with PBE.

Calculated values
Formation energy, kcal/mol of atoms: -2.97
E, eV/cell: -38.04
Mass density, Mg/m³: 6.8
Excess energy over the best structure of this formula in the dataset, meV/atom: 17

a = 3.6616 Å, b = 5.1444 Å, c = 8.0270 Å
α = 90.00°, β = 90.00°, γ = 90.00°
Closest atoms and distances in Å follow each position.
Space group Pmmn (No. 59, origin choice 2)
Unique sites:
Tb (0.2500, 0.2500, 0.0939) x2  4 C 2.51-2.58
Pr (0.2500, 0.2500, 0.6641) x2  2 C 2.52
C (0.2500, 0.7500, 0.1206) x2  4 Tb 2.51-2.58, 2 Pr 2.52